Record 1
Computed, not measured: crystalline Ac2UPdS6 at its relaxed geometry at the GGA-PBE level of DFT.

## Properties
**E_form (uncorrected)**: -145.1 kJ/mol of atoms
**Symmetry**: C2/m, No. 12

Cell and atoms, written as POSCAR:
```
Ac2UPdS6
1.0
-6.338 2.756 1.388
0.075 -2.882 6.061
5.718 4.311 -1.737
U S Ac Pd
1 6 2 1
Direct
0.000 0.500 0.000
0.193 0.696 0.871
0.193 0.176 0.871
0.652 0.266 0.532
0.348 0.734 0.468
0.807 0.824 0.129
0.807 0.304 0.129
0.767 0.738 0.475
0.233 0.262 0.525
0.500 0.000 0.000
```

***

Record 2
Computed, not measured: crystalline Tl2Hg5 at its relaxed geometry at the GGA-PBE level of DFT.

## Properties
**Symmetry**: Cmcm, No. 63
**Energy above the most stable polymorph in this dataset**: 0.0000 eV/atom
**Energy relative to the elements**: -0.01 eV per formula unit

Cell and atoms, written as POSCAR:
```
Tl2Hg5
1.0
-1.598 2.979 0.412
-4.616 -2.582 0.769
4.810 -2.292 21.180
Hg Tl
10 4
Direct
0.454 0.750 0.907
0.590 0.750 0.179
0.761 0.250 0.522
0.022 0.750 0.044
0.546 0.250 0.093
0.978 0.250 0.956
0.195 0.250 0.390
0.239 0.750 0.478
0.805 0.750 0.610
0.410 0.250 0.821
0.119 0.250 0.238
0.881 0.750 0.762
0.666 0.750 0.333
0.334 0.250 0.667
```

***

no.,calculated density (g/cm³)
1,6.50
2,11.83